[1]
Ag17Bi2: optimized geometry, PBE.

Cell: 7.317 7.317 7.317 Å, 82.25 82.25 82.25°
Fractional positions:
Ag  0.650  0.650  0.154
Ag  0.154  0.650  0.650
Ag  0.900  0.900  0.900
Ag  0.100  0.100  0.100
Ag  0.000  0.000  0.500
Ag  0.000  0.500  0.000
Ag  0.500  0.000  0.000
Ag  0.301  0.699  0.000
Ag  0.699  0.000  0.301
Ag  0.000  0.301  0.699
Ag  0.699  0.301  0.000
Ag  0.301  0.000  0.699
Ag  0.000  0.699  0.301
Ag  0.846  0.350  0.350
Ag  0.350  0.350  0.846
Ag  0.350  0.846  0.350
Ag  0.650  0.154  0.650
Bi  0.349  0.349  0.349
Bi  0.651  0.651  0.651

[2]
AgBi5: optimized geometry, PBE.

Cell: 4.491 4.185 10.351 Å, 101.66 90.00 90.00°
Fractional positions:
Bi  0.500  0.810  0.620
Bi  0.000  0.623  0.246
Bi  0.500  0.500  0.000
Bi  0.000  0.377  0.754
Bi  0.500  0.190  0.380
Ag  0.000  0.000  0.000

[3]
AgBi: optimized geometry, PBE.

Cell: 11.217 11.217 3.481 Å, 90.00 90.00 90.00°
Fractional positions:
Ag  0.432  0.661  0.000
Ag  0.568  0.339  0.000
Ag  0.339  0.432  0.000
Ag  0.661  0.568  0.000
Ag  0.932  0.161  0.500
Ag  0.068  0.839  0.500
Ag  0.839  0.932  0.500
Ag  0.161  0.068  0.500
Bi  0.362  0.170  0.000
Bi  0.638  0.830  0.000
Bi  0.830  0.362  0.000
Bi  0.170  0.638  0.000
Bi  0.862  0.670  0.500
Bi  0.138  0.330  0.500
Bi  0.330  0.862  0.500
Bi  0.670  0.138  0.500

[4]
Ag5Bi: optimized geometry, PBE.

Cell: 4.300 4.346 6.771 Å, 108.72 90.00 90.00°
Fractional positions:
Bi  0.000  0.000  0.000
Ag  0.500  0.826  0.652
Ag  0.000  0.673  0.345
Ag  0.500  0.500  0.000
Ag  0.000  0.327  0.655
Ag  0.500  0.174  0.348

How do the records compare in total magnetic moment? In the order shown, they have 0.0000, 0.0000, 0.0000, 0.0000 μB per atom.
How do the records compare in E_form? In the order shown, they have 108, 141, 217, 60 meV per atom.
How do the records compare in electronic total energy? In the order shown, they have -2.852, -3.569, -3.150, -2.963 eV per atom.